# 1
Zn2CuPd | the Alexandria database | PBE | optimized geometry; calculated formation energy = -0.206 eV per atom; size of the total moment = 0.0 μB/f.u.; symmetry = R-3m (166)
1.0
2.802 0.000 0.000
1.401 2.427 0.000
1.401 0.809 8.333
Zn Cu Pd
2 1 1
Cartesian
4.203 2.427 6.212
1.401 0.809 2.121
2.802 1.618 4.166
0.000 0.000 0.000



# 2
HfAl2Pd | the Alexandria database | PBE | optimized geometry; calculated formation energy = -0.484 eV per atom; size of the total moment = 0.0 μB/f.u.; symmetry = R-3m (166)
1.0
4.223 0.000 0.000
2.112 3.657 0.000
2.112 1.219 4.507
Hf Al Pd
1 2 1
Cartesian
4.223 2.438 2.253
6.335 3.657 3.792
2.112 1.219 0.715
0.000 0.000 0.000



# 3
Pm3Pr2In4 | the Alexandria database | PBE | optimized geometry; calculated formation energy = -0.411 eV per atom; size of the total moment = 0.0 μB/f.u.; symmetry = C2/m (12); energy relative to the lowest polymorph listed for this composition = 0.000 eV per formula unit
1.0
5.437 0.002 -0.001
2.719 4.713 0.174
-0.005 -0.367 10.514
Pm Pr In
3 2 4
Cartesian
2.716 1.418 4.508
0.000 0.000 0.000
5.435 2.928 6.179
2.716 1.281 8.265
5.435 3.066 2.422
5.435 2.809 9.571
5.435 -0.124 3.686
2.717 4.471 7.001
2.717 1.538 1.117



# 4
Ac3PrSn2 | the Alexandria database | PBE | optimized geometry; calculated formation energy = -0.546 eV per atom; size of the total moment = 0.0 μB/f.u.; symmetry = Immm (71); energy relative to the lowest polymorph listed for this composition = 0.000 eV per formula unit
1.0
4.689 0.000 -1.357
-0.398 4.849 -1.375
0.284 0.161 9.760
Ac Pr Sn
3 1 2
Cartesian
2.146 2.424 -1.366
3.905 1.663 4.711
0.670 3.347 2.317
0.000 0.000 0.000
1.582 4.322 5.466
2.993 0.687 1.562



# 5
AcTb5Pm2Tm | the Alexandria database | PBE | optimized geometry; calculated formation energy = 0.265 eV per atom; size of the total moment = 0.0 μB/f.u.; symmetry = I4/mcm (140)
1.0
8.881 0.000 0.000
0.000 8.881 0.000
-4.441 -4.441 7.772
Ac Tb Pm Tm
2 10 4 2
Cartesian
0.000 0.000 3.886
4.441 4.441 3.886
7.053 2.612 2.059
2.612 -1.828 5.713
-2.612 1.828 5.713
-1.828 -2.612 5.713
1.828 2.612 5.713
6.269 7.053 2.059
2.612 1.828 2.059
1.828 6.269 2.059
4.441 4.441 0.000
0.000 0.000 0.000
1.032 3.409 0.000
5.473 1.032 0.000
3.409 7.849 0.000
7.849 5.473 0.000
0.000 4.441 3.886
4.441 0.000 3.886



# 6
CaPrTm2Au4 | the Alexandria database | PBE | optimized geometry; calculated formation energy = -0.805 eV per atom; size of the total moment = 0.0 μB/f.u.; symmetry = R-3m (166)
1.0
-1.330 4.490 -2.004
-2.497 3.416 2.836
6.086 5.934 2.784
Ca Pr Tm Au
1 1 2 4
Cartesian
1.130 6.920 1.808
0.000 0.000 0.000
1.623 10.348 2.687
0.637 3.492 0.928
3.831 8.131 2.728
-1.088 9.133 1.764
3.348 4.707 1.851
-1.572 5.709 0.888



# 7
ZrSc4N5 | the Alexandria database | PBE | optimized geometry; size of the total moment = 0.0 μB/f.u.; symmetry = Immm (71); energy = -0.3475 hartree per atom
1.0
3.150 0.000 -0.608
-0.234 4.363 -1.211
0.004 0.001 8.489
Zr Sc N
1 4 5
Cartesian
0.000 0.000 0.000
1.163 1.735 6.028
2.332 3.486 3.620
0.588 0.878 3.050
1.758 2.628 0.643
1.868 0.437 1.214
2.453 1.310 4.246
0.468 3.054 2.425
-0.117 2.181 -0.606
1.053 3.927 5.457



# 8
Ce5U | the Alexandria database | PBE | optimized geometry; calculated formation energy = 0.123 eV per atom; size of the total moment = 2.1 μB/f.u.; symmetry = Cmmm (65)
1.0
-4.315 -0.976 1.278
1.571 -3.441 2.676
-0.195 6.207 4.085
U Ce
1 5
Cartesian
0.000 0.000 0.000
-0.976 0.800 5.613
0.980 -0.244 3.122
-1.372 -2.209 1.977
0.396 3.010 3.638
-1.963 0.989 2.425



# 9
CeSm3Y2Te6 | the Alexandria database | PBE | optimized geometry; size of the total moment = 1.3 μB/f.u.; symmetry = C2/m (12); energy = -0.2088 hartree per atom
1.0
-2.286 -3.561 -1.220
5.471 -5.149 4.777
-5.767 4.051 6.925
Ce Sm Y Te
1 3 2 6
Cartesian
-1.143 -1.780 -0.610
1.593 -4.355 1.779
-4.881 -1.110 4.436
2.300 -3.548 6.045
-2.106 -3.708 6.818
-0.475 -0.951 3.664
0.413 -3.189 8.531
-0.310 -3.996 4.295
-2.993 -1.470 1.950
1.356 -1.297 1.244
-3.937 -3.362 9.238
-2.271 -0.663 6.187



# 10
Ni2MoRh | the Alexandria database | PBE | optimized geometry; calculated formation energy = 0.071 eV per atom; size of the total moment = 0.6 μB/f.u.; symmetry = R3m (160); energy relative to the lowest polymorph listed for this composition = 0.802 eV per formula unit
1.0
-0.197 8.140 -2.841
-2.436 8.160 -1.359
-0.057 8.621 -0.203
Mo Ni Rh
1 2 1
Cartesian
-2.013 18.652 -3.295
-2.682 24.849 -4.390
-0.680 6.301 -1.113
-1.349 12.499 -2.208



# 11
ErTm2Ga9 | the Alexandria database | PBE | optimized geometry; calculated formation energy = -0.520 eV per atom; size of the total moment = 0.0 μB/f.u.; symmetry = P4/mmm (123)
1.0
-1.438 -0.400 3.970
-3.479 -1.940 -1.456
5.853 -11.239 0.987
Er Tm Ga
1 2 9
Cartesian
0.000 0.000 0.000
1.952 -3.749 0.329
3.901 -7.490 0.658
-2.459 -1.170 1.257
-0.508 -4.917 1.586
1.443 -8.662 1.914
0.260 -2.080 2.150
2.207 -5.820 2.478
4.155 -9.560 2.806
-0.761 -2.849 -0.563
1.187 -6.589 -0.235
3.134 -10.329 0.094



# 12
LiTi3W | the Alexandria database | PBE | optimized geometry; calculated formation energy = 1.053 eV per atom; size of the total moment = 1.8 μB/f.u.; symmetry = Pm-3m (221); energy relative to the lowest polymorph listed for this composition = 0.850 eV per formula unit
1.0
-0.818 -4.113 -1.015
2.002 -1.286 3.599
-3.734 0.211 2.152
Li W Ti
1 1 3
Cartesian
0.000 0.000 0.000
-1.275 -2.594 2.368
1.001 -0.643 1.800
-1.867 0.106 1.076
-0.409 -2.057 -0.507



# 13
RbSrCd3 | the Alexandria database | PBE | optimized geometry; calculated formation energy = 0.432 eV per atom; size of the total moment = 0.0 μB/f.u.; symmetry = Pm-3m (221); energy relative to the lowest polymorph listed for this composition = 1.041 eV per formula unit
1.0
6.211 0.000 0.000
0.000 6.211 0.000
0.000 0.000 6.211
Sr Rb Cd
1 1 3
Cartesian
3.106 3.106 3.106
0.000 0.000 0.000
0.000 3.106 0.000
0.000 0.000 3.106
3.106 0.000 0.000



# 14
Ce3Re2N6 | the Alexandria database | PBE | optimized geometry; size of the total moment = 1.3 μB/f.u.; symmetry = I4/mmm (139); energy = -0.3459 hartree per atom
1.0
-1.678 0.815 -3.462
-2.132 -3.294 0.258
-5.026 6.079 6.100
Ce Re N
3 2 6
Cartesian
0.000 0.000 0.000
-6.287 1.820 1.242
-2.549 1.780 1.654
-5.669 3.958 3.679
-3.167 -0.359 -0.783
-2.275 -0.803 0.914
-2.048 1.251 -0.947
-6.561 4.403 1.983
-6.789 2.348 3.843
-4.693 0.707 0.208
-4.143 2.893 2.689



# 15
ErB2Pb2O6 | the Alexandria database | PBE | optimized geometry; size of the total moment = 0.7 μB/f.u.; symmetry = C2/m (12); energy = -0.2653 hartree per atom
1.0
-2.509 -2.691 -3.836
5.348 1.262 -0.701
-1.668 -6.054 5.337
Er B Pb O
1 2 2 6
Cartesian
-2.088 -4.372 0.751
0.803 -5.565 -0.304
0.369 -1.918 1.104
-0.164 -2.608 -1.746
1.336 -4.875 2.546
-0.297 -5.727 0.529
-0.744 -2.589 0.623
3.279 -3.430 2.264
1.915 -4.893 0.177
-2.108 -4.053 -1.463
1.468 -1.756 0.272



# 16
Sr4CuAg | the Alexandria database | PBE | optimized geometry; calculated formation energy = 0.708 eV per atom; size of the total moment = 0.0 μB/f.u.; symmetry = F-43m (216)
1.0
-6.726 -2.652 -0.668
-3.833 -1.710 5.925
-5.708 4.053 1.925
Sr Cu Ag
4 1 1
Cartesian
-9.463 -1.442 2.359
-8.954 1.911 3.656
-8.016 -0.971 5.656
-6.099 -0.116 2.693
0.000 0.000 0.000
-12.200 -0.232 5.387



# 17
CaMg2Pb | the Alexandria database | PBE | optimized geometry; calculated formation energy = -0.139 eV per atom; size of the total moment = 0.0 μB/f.u.; symmetry = P2/m (10); energy relative to the lowest polymorph listed for this composition = 0.410 eV per formula unit
1.0
5.645 0.000 0.000
0.000 3.437 -0.002
0.000 0.308 5.744
Ca Mg Pb
1 2 1
Cartesian
2.823 2.809 4.306
0.000 0.274 0.023
0.000 1.598 2.848
2.823 0.936 1.435



# 18
Ag2RuRh | the Alexandria database | PBE | optimized geometry; calculated formation energy = 0.537 eV per atom; size of the total moment = 1.2 μB/f.u.; symmetry = F-43m (216); energy relative to the lowest polymorph listed for this composition = 1.306 eV per formula unit
1.0
4.491 0.000 0.000
2.246 3.890 0.000
2.246 1.297 3.667
Ag Rh Ru
2 1 1
Cartesian
0.000 0.000 0.000
2.246 1.297 0.917
4.491 2.593 1.834
6.737 3.890 2.750



# 19
CeTm2Ir2 | the Alexandria database | PBE | optimized geometry; calculated formation energy = -0.740 eV per atom; size of the total moment = 0.1 μB/f.u.; symmetry = P2_1/m (11)
1.0
-3.531 -0.518 2.466
-3.087 -0.644 -4.556
4.118 -9.581 3.883
Ce Tm Ir
2 4 4
Cartesian
-2.515 -2.643 -2.250
0.015 -8.101 4.042
0.372 -9.077 0.533
-2.873 -1.666 1.259
0.426 -5.402 1.383
-2.927 -5.342 0.410
-0.953 -6.853 -0.898
-1.547 -3.890 2.690
2.153 -9.620 2.968
-4.653 -1.123 -1.176



# 20
Mn2AlCuH | the Alexandria database | PBE | optimized geometry; size of the total moment = 5.0 μB/f.u.; symmetry = P4/mmm (123); energy relative to the lowest polymorph listed for this composition = 0.000 eV per formula unit
1.0
-3.464 0.624 -1.261
-1.323 -2.583 2.357
-0.484 2.664 2.646
H Mn Al Cu
1 2 1 1
Cartesian
0.000 0.000 0.000
-0.662 -1.291 1.179
-1.732 0.312 -0.630
-2.635 0.352 1.872
-0.242 1.332 1.323